Entry 1:
# Na3PrAs2O8, relaxed, DFT GGA-PBE
# Relative energy among the computed polymorphs: 0.0000 eV per atom
# ΔE_f (raw): -1.9657 eV/atom
data_Na3PrAs2O8
_chemical_formula_sum 'Na24 Pr8 As16 O64'
_space_group_name_H-M_alt 'P c a 21'
_space_group_IT_number 29
_cell_length_a 14.342
_cell_length_b 5.655
_cell_length_c 19.827
_cell_angle_alpha 90.00
_cell_angle_beta 90.00
_cell_angle_gamma 90.00
loop_
_space_group_symop_operation_xyz
'x,y,z'
'-x,-y,z+1/2'
'-x+1/2,y,z+1/2'
'x+1/2,-y,z'
loop_
_atom_site_label
_atom_site_type_symbol
_atom_site_fract_x
_atom_site_fract_y
_atom_site_fract_z
Na1 Na 0.038 0.044 0.063
Na2 Na 0.043 0.468 0.817
Na3 Na 0.105 0.988 0.727
Na4 Na 0.145 0.476 0.000
Na5 Na 0.206 0.947 0.912
Na6 Na 0.208 0.522 0.668
Pr1 Pr 0.105 0.428 0.481
Pr2 Pr 0.146 0.060 0.244
As1 As 0.024 0.981 0.397
As2 As 0.033 0.535 0.153
As3 As 0.219 0.957 0.572
As4 As 0.227 0.507 0.328
O1 O 0.007 0.283 0.935
O2 O 0.007 0.951 0.312
O3 O 0.013 0.490 0.068
O4 O 0.041 0.792 0.931
O5 O 0.044 0.835 0.170
O6 O 0.052 0.589 0.702
O7 O 0.112 0.428 0.316
O8 O 0.116 0.110 0.560
O9 O 0.137 0.389 0.168
O10 O 0.138 0.054 0.413
O11 O 0.193 0.079 0.025
O12 O 0.207 0.660 0.552
O13 O 0.208 0.291 0.788
O14 O 0.238 0.961 0.658
O15 O 0.245 0.779 0.795
O16 O 0.248 0.522 0.414



Entry 2:
# GaB3Cl, relaxed, DFT GGA-PBE
# Relative energy among the computed polymorphs: 0.4250 eV per atom
# ΔE_f (raw): 2.2584 eV/atom
data_GaB3Cl
_chemical_formula_sum 'Ga1 B3 Cl1'
_space_group_name_H-M_alt 'P m -3 m'
_space_group_IT_number 221
_space_group_name_Hall '-P 4 2 3'
_cell_length_a 3.921
_cell_length_b 3.921
_cell_length_c 3.921
_cell_angle_alpha 90.00
_cell_angle_beta 90.00
_cell_angle_gamma 90.00
loop_
_atom_site_label
_atom_site_type_symbol
_atom_site_fract_x
_atom_site_fract_y
_atom_site_fract_z
Ga1 Ga 0.000 0.000 0.000
B1 B 0.000 0.500 0.500
Cl1 Cl 0.500 0.500 0.500



Entry 3:
# La3MgTl, relaxed, DFT GGA-PBE
# Energy of formation from the pure elements: 162 kJ/mol of formula units
# Relative energy among the computed polymorphs: 0.5372 eV per atom
data_La3MgTl
_chemical_formula_sum 'La3 Mg1 Tl1'
_space_group_name_H-M_alt 'P m -3 m'
_space_group_IT_number 221
_space_group_name_Hall '-P 4 2 3'
_cell_length_a 6.070
_cell_length_b 6.070
_cell_length_c 6.070
_cell_angle_alpha 90.00
_cell_angle_beta 90.00
_cell_angle_gamma 90.00
loop_
_atom_site_label
_atom_site_type_symbol
_atom_site_fract_x
_atom_site_fract_y
_atom_site_fract_z
La1 La 0.000 0.000 0.500
Mg1 Mg 0.500 0.500 0.500
Tl1 Tl 0.000 0.000 0.000



Entry 4:
# BaAlGe2Ru, relaxed, DFT GGA-PBE
# Energy of formation from the pure elements: 150 kJ/mol of formula units
data_BaAlGe2Ru
_chemical_formula_sum 'Ba1 Al1 Ge2 Ru1'
_space_group_name_H-M_alt 'P 4/m m m'
_space_group_IT_number 123
_space_group_name_Hall '-P 4 2'
_cell_length_a 4.977
_cell_length_b 4.977
_cell_length_c 4.771
_cell_angle_alpha 90.00
_cell_angle_beta 90.00
_cell_angle_gamma 90.00
loop_
_atom_site_label
_atom_site_type_symbol
_atom_site_fract_x
_atom_site_fract_y
_atom_site_fract_z
Ba1 Ba 0.000 0.000 0.000
Al1 Al 0.500 0.500 0.500
Ge1 Ge 0.000 0.500 0.500
Ru1 Ru 0.500 0.500 0.000



Entry 5:
# HfMnInRu, relaxed, DFT GGA-PBE
# Energy of formation from the pure elements: -74 kJ/mol of formula units
data_HfMnInRu
_chemical_formula_sum 'Hf4 Mn4 In4 Ru4'
_space_group_name_H-M_alt 'F -4 3 m'
_space_group_IT_number 216
_space_group_name_Hall 'F -4 2 3'
_cell_length_a 6.448
_cell_length_b 6.448
_cell_length_c 6.448
_cell_angle_alpha 90.00
_cell_angle_beta 90.00
_cell_angle_gamma 90.00
loop_
_atom_site_label
_atom_site_type_symbol
_atom_site_fract_x
_atom_site_fract_y
_atom_site_fract_z
Hf1 Hf 0.000 0.000 0.000
Mn1 Mn 0.250 0.250 0.250
In1 In 0.000 0.000 0.500
Ru1 Ru 0.250 0.250 0.750



Entry 6:
# RbYZn3, relaxed, DFT GGA-PBE
# Energy of formation from the pure elements: 478 kJ/mol of formula units
# Relative energy among the computed polymorphs: 0.5677 eV per atom
data_RbYZn3
_chemical_formula_sum 'Rb1 Y1 Zn3'
_space_group_name_H-M_alt 'P m -3 m'
_space_group_IT_number 221
_space_group_name_Hall '-P 4 2 3'
_cell_length_a 5.471
_cell_length_b 5.471
_cell_length_c 5.471
_cell_angle_alpha 90.00
_cell_angle_beta 90.00
_cell_angle_gamma 90.00
loop_
_atom_site_label
_atom_site_type_symbol
_atom_site_fract_x
_atom_site_fract_y
_atom_site_fract_z
Rb1 Rb 0.000 0.000 0.000
Y1 Y 0.500 0.500 0.500
Zn1 Zn 0.000 0.000 0.500



Entry 7:
# AcMg5Tl7, relaxed, DFT GGA-PBE
# Energy of formation from the pure elements: -129 kJ/mol of formula units
data_AcMg5Tl7
_chemical_formula_sum 'Ac2 Mg10 Tl14'
_space_group_name_H-M_alt 'I m m 2'
_space_group_IT_number 44
_cell_length_a 6.349
_cell_length_b 10.673
_cell_length_c 10.320
_cell_angle_alpha 90.00
_cell_angle_beta 90.00
_cell_angle_gamma 90.00
loop_
_space_group_symop_operation_xyz
'x,y,z'
'-x,-y,z'
'-x,y,z'
'x,-y,z'
'x+1/2,y+1/2,z+1/2'
'-x+1/2,-y+1/2,z+1/2'
'-x+1/2,y+1/2,z+1/2'
'x+1/2,-y+1/2,z+1/2'
loop_
_atom_site_label
_atom_site_type_symbol
_atom_site_fract_x
_atom_site_fract_y
_atom_site_fract_z
Ac1 Ac 0.000 0.000 0.000
Mg1 Mg 0.000 0.500 0.261
Mg2 Mg 0.246 0.254 0.746
Tl1 Tl 0.000 0.000 0.353
Tl2 Tl 0.000 0.000 0.659
Tl3 Tl 0.000 0.311 0.488
Tl4 Tl 0.000 0.343 0.005
Tl5 Tl 0.000 0.500 0.726



Entry 8:
# K2SrMnHg, relaxed, DFT GGA-PBE
# Energy of formation from the pure elements: 287 kJ/mol of formula units
data_K2SrMnHg
_chemical_formula_sum 'K2 Sr1 Mn1 Hg1'
_space_group_name_H-M_alt 'P 4/m m m'
_space_group_IT_number 123
_space_group_name_Hall '-P 4 2'
_cell_length_a 6.458
_cell_length_b 6.458
_cell_length_c 6.252
_cell_angle_alpha 90.00
_cell_angle_beta 90.00
_cell_angle_gamma 90.00
loop_
_atom_site_label
_atom_site_type_symbol
_atom_site_fract_x
_atom_site_fract_y
_atom_site_fract_z
K1 K 0.000 0.500 0.000
Sr1 Sr 0.000 0.000 0.500
Mn1 Mn 0.000 0.000 0.000
Hg1 Hg 0.500 0.500 0.500



Result set for calculated volume: 14.36 12.06 44.74 23.63 16.75 32.75 26.90 52.15 A^3/atom, one per record in the order listed.